Here is a relaxed HgTe2BrF crystal from Alexandria via LeMat-Bulk. Energies are from PBE-GGA.

The space group is P4/mmm (No. 123) and the conventional cell measures 4.625, 4.625 and 8.298 Å, with angles of 90.00, 90.00 and 90.00 degrees. The inequivalent atoms are Hg at (0.000, 0.000, 0.000), Te at (0.000, 0.500, 0.500), Br at (0.500, 0.500, 0.000) and F at (0.000, 0.000, 0.500).

For the mass density, the calculation gives 5191 kg/m³. The calculation puts the calculated volume at 177 Å³/f.u. The formation energy from raw total energies comes out at -0.043 eV/atom.